Entry 1:
## Ca2AsRu (PBE-GGA)

Data for a relaxed structure of Ca2AsRu.

abc: 10.5100 10.5100 4.6636
angles: 90.00 90.00 90.00
Last column: nearest neighbours and their distance in Å.
Space group I-42d (No. 122)
Symmetry-distinct sites (fractional):
Ca: 0.0690 0.2500 0.1250 [8 per cell]  2 Ru 2.79
As: 0.0000 0.0000 0.5000 [4 per cell]  2 Ru 2.33
Ru: 0.0000 0.0000 0.0000 [4 per cell]  2 As 2.33

Results
Crystal system: tetragonal
D(E_F), states/eV/cell: 8.091
DFT formation energy, meV/atom: -260
VASP energy, Ry/atom: -0.3486
Total magnetic moment, μB/f.u.: 0.00

=====

Entry 2:
## GaIO4 (PBE-GGA)

Data for a relaxed structure of GaIO4.

abc: 5.7219 4.8627 5.8040
angles: 90.00 113.20 90.00
Last column: nearest neighbours and their distance in Å.
Space group P2_1/c (No. 14)
Symmetry-distinct sites (fractional):
Ga: 0.0000 0.0000 0.0000 [2 per cell]  6 O 2.00-2.11
I: 0.5000 0.0000 0.5000 [2 per cell]  6 O 2.10-2.12
O: 0.1450 0.1957 0.3321 [4 per cell]  2 Ga 2.01-2.11, 1 I 2.10
O: 0.3412 0.6797 0.6392 [4 per cell]  1 Ga 2.00, 2 I 2.12

Results
Crystal system: monoclinic
VASP energy, Ry/atom: -0.3552
Formation energy from raw total energies, eV per formula unit: -4.590
Total magnetic moment, μB/f.u.: 0.00

=====

Entry 3:
## AcErIn4 (PBE-GGA)

Data for a relaxed structure of AcErIn4.

abc: 8.7747 21.1838 3.6768
angles: 90.00 90.00 90.00
Last column: nearest neighbours and their distance in Å.
Space group Pbam (No. 55)
Symmetry-distinct sites (fractional):
Ac: 0.1098 0.1826 0.0000 [4 per cell]  12 In 3.46-3.73, 2 Ac 3.68
Er: 0.1115 0.4230 0.0000 [4 per cell]  10 In 3.27-3.41
In: 0.0562 0.6840 0.5000 [4 per cell]  3 In 2.89-3.16
In: 0.0725 0.9351 0.5000 [4 per cell]  4 In 3.01-3.21, 2 Er 3.34
In: 0.2092 0.5491 0.5000 [4 per cell]  3 In 3.08-3.21, 4 Er 3.35-3.41
In: 0.2278 0.8084 0.5000 [4 per cell]  3 In 2.89-3.03

Results
Crystal system: orthorhombic
D(E_F), states/eV/cell: 16.719
DFT formation energy, meV/atom: -347
VASP energy, Ry/atom: -0.2659
Polymorph energy (0 for the lowest one), eV/atom: 0.066
Total magnetic moment, μB/f.u.: 0.00

=====

Entry 4:
## K2VPb (PBE-GGA)

Data for a relaxed structure of K2VPb.

abc: 12.2993 12.2993 5.3772
angles: 90.00 90.00 90.00
Last column: nearest neighbours and their distance in Å.
Space group I-42d (No. 122)
Symmetry-distinct sites (fractional):
K: 0.0974 0.2500 0.1250 [8 per cell]  2 V 3.37
V: 0.0000 0.0000 0.0000 [4 per cell]  2 Pb 2.69
Pb: 0.0000 0.0000 0.5000 [4 per cell]  2 V 2.69

Results
Crystal system: tetragonal
D(E_F), states/eV/cell: 27.541
DFT formation energy, meV/atom: 666
VASP energy, Ry/atom: -0.2271
Total magnetic moment, μB/f.u.: 3.40

=====

Entry 5:
## BaSn5Br12 (PBE-GGA)

Data for a relaxed structure of BaSn5Br12.

abc: 7.7606 13.5165 14.0045
angles: 90.00 90.22 90.00
Last column: nearest neighbours and their distance in Å.
Space group C2/m (No. 12)
Symmetry-distinct sites (fractional):
Ba: 0.0000 0.0000 0.0000 [2 per cell]  6 Br 3.23
Sn: 0.0000 0.1667 0.5000 [4 per cell]  6 Br 3.04-3.05
Sn: 0.0000 0.3333 0.0000 [4 per cell]  6 Br 3.02
Sn: 0.0000 0.5000 0.5000 [2 per cell]  6 Br 3.05
Br: 0.1448 0.5000 0.1195 [4 per cell]  2 Sn 3.02, 1 Ba 3.23
Br: 0.1650 0.0000 0.3854 [4 per cell]  3 Sn 3.05
Br: 0.1652 0.3333 0.3861 [8 per cell]  3 Sn 3.04-3.05
Br: 0.1776 0.1776 0.1193 [8 per cell]  2 Sn 3.02, 1 Ba 3.23

Results
Crystal system: monoclinic
D(E_F), states/eV/cell: 0.000
VASP energy, Ry/atom: -0.2439
Formation energy from raw total energies, eV per formula unit: -17.726
Total magnetic moment, μB/f.u.: 0.00

=====

Entry 6:
## Mg3Mo5 (PBE-GGA)

Data for a relaxed structure of Mg3Mo5.

abc: 8.6600 9.1630 3.3502
angles: 90.00 90.00 90.00
Last column: nearest neighbours and their distance in Å.
Space group Cmmm (No. 65)
Symmetry-distinct sites (fractional):
Mg: 0.0000 0.0000 0.0000 [2 per cell]  4 Mg 2.73, 4 Mo 2.94
Mg: 0.2489 0.0000 0.5000 [4 per cell]  2 Mg 2.73, 6 Mo 2.74-2.84
Mo: 0.0000 0.2639 0.5000 [4 per cell]  6 Mo 2.74, 2 Mg 2.94
Mo: 0.0000 0.5000 0.0000 [2 per cell]  4 Mo 2.74, 4 Mg 2.74
Mo: 0.2500 0.2500 0.0000 [4 per cell]  4 Mo 2.74, 4 Mg 2.84

Results
Crystal system: orthorhombic
D(E_F), states/eV/cell: 15.424
DFT formation energy, meV/atom: 333
VASP energy, Ry/atom: -0.5170
Polymorph energy (0 for the lowest one), eV/atom: 0.000
Total magnetic moment, μB/f.u.: 0.00